(1)
This record from Alexandria via LeMat-Bulk describes La6Pr16Er7 after structural relaxation. The functional is GGA-PBE.

```
data_La6Pr16Er7
_chemical_formula_sum 'La6 Pr16 Er7'
_space_group_name_H-M_alt 'P 1'
_space_group_IT_number 1
_cell_length_a 11.4104
_cell_length_b 11.4104
_cell_length_c 11.4104
_cell_angle_alpha 60.00
_cell_angle_beta 60.00
_cell_angle_gamma 60.00
loop_
_space_group_symop_operation_xyz
'x,y,z'
loop_
_atom_site_label
_atom_site_type_symbol
_atom_site_fract_x
_atom_site_fract_y
_atom_site_fract_z
Pr1 Pr 0.8778 0.3666 0.8778
Pr2 Pr 0.1222 0.1222 0.1222
Pr3 Pr 0.3666 0.8778 0.8778
Pr4 Pr 0.9624 0.3459 0.3459
Pr5 Pr 0.6541 0.6541 0.0376
Pr6 Pr 0.1222 0.1222 0.6334
Pr7 Pr 0.6541 0.0376 0.6541
Pr8 Pr 0.3459 0.3459 0.9624
Pr9 Pr 0.6334 0.1222 0.1222
Pr10 Pr 0.3459 0.3459 0.3459
Pr11 Pr 0.8778 0.8778 0.8778
Pr12 Pr 0.1222 0.6334 0.1222
Pr13 Pr 0.0376 0.6541 0.6541
Pr14 Pr 0.3459 0.9624 0.3459
Pr15 Pr 0.6541 0.6541 0.6541
Pr16 Pr 0.8778 0.8778 0.3666
Er1 Er 0.5000 0.0000 0.0000
Er2 Er 0.0000 0.0000 0.0000
Er3 Er 0.0000 0.0000 0.5000
Er4 Er 0.5000 0.5000 0.0000
Er5 Er 0.5000 0.0000 0.5000
Er6 Er 0.0000 0.5000 0.5000
Er7 Er 0.0000 0.5000 0.0000
La1 La 0.7065 0.2935 0.7065
La2 La 0.2935 0.7065 0.7065
La3 La 0.7065 0.2935 0.2935
La4 La 0.7065 0.7065 0.2935
La5 La 0.2935 0.2935 0.7065
La6 La 0.2935 0.7065 0.2935
```

Energy of formation ... 185 meV/atom
DOS(E_F) ... 56.20 states/eV/f.u.
ρ ... 6.73 g cm⁻³
DFT total energy ... -4.57 eV/atom

(2)
This record from Alexandria via LeMat-Bulk describes La2PrEr5 after structural relaxation. The functional is GGA-PBE.

```
data_La2PrEr5
_chemical_formula_sum 'La4 Pr2 Er10'
_space_group_name_H-M_alt 'P 1'
_space_group_IT_number 1
_cell_length_a 5.6880
_cell_length_b 6.3302
_cell_length_c 16.7689
_cell_angle_alpha 90.00
_cell_angle_beta 90.00
_cell_angle_gamma 116.70
loop_
_space_group_symop_operation_xyz
'x,y,z'
loop_
_atom_site_label
_atom_site_type_symbol
_atom_site_fract_x
_atom_site_fract_y
_atom_site_fract_z
La1 La 0.7782 0.5565 0.1342
La2 La 0.7782 0.5565 0.3658
La3 La 0.2218 0.4435 0.6342
La4 La 0.2218 0.4435 0.8658
Er1 Er 0.9084 0.8168 0.9298
Er2 Er 0.3937 0.7875 0.4406
Er3 Er 0.5090 0.0180 0.2500
Er4 Er 0.4910 0.9820 0.7500
Er5 Er 0.9084 0.8168 0.5702
Er6 Er 0.3937 0.7875 0.0594
Er7 Er 0.0916 0.1832 0.4298
Er8 Er 0.6063 0.2125 0.5594
Er9 Er 0.6063 0.2125 0.9406
Er10 Er 0.0916 0.1832 0.0702
Pr1 Pr 0.2007 0.4013 0.2500
Pr2 Pr 0.7993 0.5987 0.7500
```

Energy of formation ... 138 meV/atom
DOS(E_F) ... 12.86 states/eV/f.u.
ρ ... 7.73 g cm⁻³
DFT total energy ... -4.54 eV/atom

(3)
This record from Alexandria via LeMat-Bulk describes La12Pr7Er after structural relaxation. The functional is GGA-PBE.

```
data_La12Pr7Er
_chemical_formula_sum 'La12 Pr7 Er1'
_space_group_name_H-M_alt 'P 1'
_space_group_IT_number 1
_cell_length_a 7.1370
_cell_length_b 11.2152
_cell_length_c 11.2156
_cell_angle_alpha 64.37
_cell_angle_beta 77.75
_cell_angle_gamma 102.24
loop_
_space_group_symop_operation_xyz
'x,y,z'
loop_
_atom_site_label
_atom_site_type_symbol
_atom_site_fract_x
_atom_site_fract_y
_atom_site_fract_z
La1 La 0.9344 0.4312 0.7828
La2 La 0.4969 0.2141 0.5687
La3 La 0.7465 0.5449 0.5263
La4 La 0.2017 0.9288 0.5448
La5 La 0.7983 0.0712 0.4552
La6 La 0.2728 0.5263 0.9288
La7 La 0.2828 0.2172 0.2140
La8 La 0.7172 0.7828 0.7860
La9 La 0.7272 0.4737 0.0712
La10 La 0.0656 0.5688 0.2172
La11 La 0.5031 0.7859 0.4313
La12 La 0.2535 0.4551 0.4737
Pr1 Pr 0.9216 0.1482 0.6931
Pr2 Pr 0.3853 0.3070 0.8412
Pr3 Pr 0.5000 0.0000 0.0000
Pr4 Pr 0.7735 0.1588 0.1482
Pr5 Pr 0.6147 0.6930 0.1588
Pr6 Pr 0.0784 0.8518 0.3070
Pr7 Pr 0.2265 0.8412 0.8518
Er1 Er 0.0000 0.0000 0.0000
```

Energy of formation ... 229 meV/atom
DOS(E_F) ... 29.28 states/eV/f.u.
ρ ... 6.31 g cm⁻³
DFT total energy ... -4.63 eV/atom